K2CaCl2, optimized geometry, DFT PBE; energy above the most stable polymorph in this dataset = 163 meV/atom; raw formation energy = -5.6 eV per formula unit
1.0
-1.2522 -3.6863 -4.1606
5.5015 -1.4324 -0.3867
1.1518 -7.5744 2.4625
Ca K Cl
1 2 2
direct
0.0000 0.0000 0.0000 Ca
0.3268 0.3268 0.3463 K
0.6732 0.6732 0.6537 K
0.7500 0.2500 0.5000 Cl
0.2500 0.7500 0.5000 Cl